No. 1
First-principles (PBE-GGA) data for a relaxed structure of Nd4N3F, as listed in the Alexandria database.

Properties
The value obtained for the uncorrected formation energy is -13.7 eV/f.u. As for the uncorrected energy: -7.46 eV per atom.

```
Nd4N3F
1.0
3.628 -0.045 0.062
0.047 6.079 1.744
-0.103 0.323 6.315
Nd N F
4 3 1
Direct
0.500 0.757 0.257
0.000 0.232 0.268
0.000 0.768 0.732
0.500 0.243 0.743
0.000 0.500 0.500
0.000 0.000 0.000
0.500 0.000 0.500
0.500 0.500 0.000
```

---

No. 2
First-principles (PBE-GGA) data for a relaxed structure of Nd6N5F, as listed in the Alexandria database.

Properties
The value obtained for the uncorrected formation energy is -19.7 eV/f.u. As for the uncorrected energy: -7.65 eV per atom.

```
Nd6N5F
1.0
-3.203 3.906 3.820
1.174 -5.951 1.823
5.794 2.455 0.583
N Nd F
5 6 1
Direct
0.170 0.830 0.500
0.666 0.334 0.000
0.334 0.666 0.000
0.830 0.170 0.500
0.500 0.500 0.500
0.085 0.435 0.255
0.435 0.085 0.255
0.264 0.264 0.737
0.565 0.915 0.745
0.736 0.736 0.263
0.915 0.565 0.745
0.000 0.000 0.000
```

---

No. 3
First-principles (PBE-GGA) data for a relaxed structure of NdNF3, as listed in the Alexandria database.

Properties
The value obtained for the uncorrected formation energy is -10.5 eV/f.u. As for the uncorrected energy: -5.84 eV per atom.

```
NdNF3
1.0
-0.651 2.292 -7.012
2.293 -7.170 -2.557
-7.880 0.126 0.773
N Nd F
4 4 12
Direct
0.250 0.018 0.483
0.750 0.482 0.017
0.750 0.982 0.517
0.250 0.518 0.983
0.250 0.022 0.977
0.750 0.978 0.023
0.250 0.522 0.477
0.750 0.478 0.523
0.471 0.397 0.604
0.529 0.103 0.896
0.250 0.782 0.717
0.029 0.897 0.104
0.750 0.718 0.783
0.750 0.218 0.283
0.529 0.603 0.396
0.971 0.103 0.896
0.471 0.897 0.104
0.971 0.603 0.396
0.250 0.282 0.217
0.029 0.397 0.604
```